A plane-wave DFT calculation with GGA+U was carried out for an optimized crystal structure of FeTeRuO6.

Final energy (eV for the cell shown): -110.35
Total magnetization (μB/f.u.): 2.01

Unit cell a=5.0533 b=5.0533 c=8.7302 alpha=90.00 beta=90.00 gamma=120.00
Positions (direct):
Fe1 0.3333 0.6667 0.2500
Fe2 0.6667 0.3333 0.7500
Te1 0.3333 0.6667 0.7500
Te2 0.6667 0.3333 0.2500
Ru1 0.0000 0.0000 0.0000
Ru2 0.0000 0.0000 0.5000
O1 0.0042 0.3452 0.1297
O2 0.0042 0.6590 0.3703
O3 0.3410 0.3452 0.3703
O4 0.3410 0.9958 0.1297
O5 0.3452 0.0042 0.6297
O6 0.3452 0.3410 0.8703
O7 0.6548 0.6590 0.1297
O8 0.6548 0.9958 0.3703
O9 0.6590 0.0042 0.8703
O10 0.6590 0.6548 0.6297
O11 0.9958 0.3410 0.6297
O12 0.9958 0.6548 0.8703